{"formula": "MgZn3", "functional": "GGA-PBEsol", "state": "relaxed", "cell": [[-2.195, -2.625, -2.560], [-3.126, -1.353, 4.068], [-3.456, 4.138, -1.279]], "species": ["Zn", "Zn", "Zn", "Zn", "Zn", "Zn", "Mg", "Mg"], "frac_coords": [[0.500, 0.849, 0.751], [0.000, 0.151, 0.749], [0.500, 0.849, 0.249], [0.000, 0.151, 0.251], [0.500, 0.270, 0.000], [0.000, 0.730, 0.500], [0.000, 0.621, 0.000], [0.500, 0.379, 0.500]], "space_group": "No. 59", "e_form_ev_per_atom": -0.065}

***

{"formula": "Ir2RuPt", "functional": "GGA-PBEsol", "state": "relaxed", "cell": [[-0.564, -2.282, -3.015], [3.595, 0.652, -1.166], [1.210, -3.007, 2.050]], "species": ["Pt", "Ir", "Ir", "Ru"], "frac_coords": [[0.500, 0.500, 0.500], [0.000, 0.500, 0.000], [0.000, 0.000, 0.500], [0.500, 0.000, 0.000]], "space_group": "No. 123", "e_form_ev_per_atom": 0.051, "e_above_lowest_polymorph_mev_per_atom": 56}